VASP calculation (GGA+U) on a relaxed structure of PuFe2Ag2O6.

The structure belongs to space group C2/m (No. 12); the cell edges are 5.6846, 9.4646 and 6.1686 Å and the angles 90.00°, 110.95° and 90.00°. Symmetry generates all atoms from Pu at (0.0000, 0.0000, 0.0000), Fe at (0.0000, 0.3359, 0.0000), Ag at (0.0000, 0.3174, 0.5000), O at (0.0851, 0.1637, 0.8157) and O at (0.0954, 0.5000, 0.8074).

The value obtained for the volume is 14.1 Å³/atom. The calculation puts the spin magnetization at 10.00 μB/f.u. The calculation puts the electronic total energy at -152.43 eV/cell.